# 1
VASP calculation (GGA-PBE) on crystalline SrSiF at its relaxed geometry.

Geometry as CIF:
```
data_SrSiF
_chemical_formula_sum 'Sr6 Si6 F6'
_symmetry_space_group_name_H-M 'R -3 m'
_symmetry_Int_Tables_number 166
_symmetry_space_group_name_Hall '-R 3 2"'
_cell_length_a 4.0183
_cell_length_b 4.0183
_cell_length_c 26.3553
_cell_angle_alpha 90.00
_cell_angle_beta 90.00
_cell_angle_gamma 120.00
loop_
_atom_site_label
_atom_site_fract_x
_atom_site_fract_y
_atom_site_fract_z
_atom_site_occupancy
Sr1 0.0000 0.0000 0.1003 1
Si1 0.0000 0.0000 0.3498 1
F1 0.0000 0.0000 0.1982 1
```

Output
formation energy without anion corrections = -2.111 eV per atom
total magnetization = 0.000 μB per atom
final energy = -5.1032 eV per atom
D(E_F) = 0.09 states/eV/cell

=====

# 2
VASP calculation (GGA-PBE) on crystalline Sr12Si3F5 at its relaxed geometry.

Geometry as CIF:
```
data_Sr12Si3F5
_chemical_formula_sum 'Sr96 Si24 F40'
_symmetry_space_group_name_H-M 'I a -3 d'
_symmetry_Int_Tables_number 230
_symmetry_space_group_name_Hall '-I 4bd 2c 3'
_cell_length_a 16.9997
_cell_length_b 16.9997
_cell_length_c 16.9997
_cell_angle_alpha 90.00
_cell_angle_beta 90.00
_cell_angle_gamma 90.00
loop_
_atom_site_label
_atom_site_fract_x
_atom_site_fract_y
_atom_site_fract_z
_atom_site_occupancy
Sr1 0.0316 0.0593 0.6557 1
Si1 0.0000 0.2500 0.1250 1
F1 0.0000 0.0000 0.0000 1
F2 0.0000 0.2500 0.3750 1
```

Output
formation energy without anion corrections = -1.476 eV per atom
total magnetization = 0.141 μB per atom
final energy = -3.7664 eV per atom
D(E_F) = 96.47 states/eV/cell

=====

# 3
VASP calculation (GGA-PBE) on crystalline SrSi3F at its relaxed geometry.

Geometry as CIF:
```
data_SrSi3F
_chemical_formula_sum 'Sr1 Si3 F1'
_symmetry_space_group_name_H-M 'P m -3 m'
_symmetry_Int_Tables_number 221
_symmetry_space_group_name_Hall '-P 4 2 3'
_cell_length_a 5.7971
_cell_length_b 5.7971
_cell_length_c 5.7971
_cell_angle_alpha 90.00
_cell_angle_beta 90.00
_cell_angle_gamma 90.00
loop_
_atom_site_label
_atom_site_fract_x
_atom_site_fract_y
_atom_site_fract_z
_atom_site_occupancy
Sr1 0.0000 0.0000 0.0000 1
Si1 0.0000 0.0000 0.5000 1
F1 0.5000 0.5000 0.5000 1
```

Output
formation energy without anion corrections = 1.521 eV per atom
total magnetization = 0.596 μB per atom
final energy = -2.4431 eV per atom
D(E_F) = 6.30 states/eV/cell

=====

# 4
VASP calculation (GGA-PBE) on crystalline Sr2ZnSiF at its relaxed geometry.

Geometry as CIF:
```
data_Sr2ZnSiF
_chemical_formula_sum 'Sr2 Zn1 Si1 F1'
_symmetry_space_group_name_H-M 'P 4/m m m'
_symmetry_Int_Tables_number 123
_symmetry_space_group_name_Hall '-P 4 2'
_cell_length_a 6.1831
_cell_length_b 6.1831
_cell_length_c 4.1601
_cell_angle_alpha 90.00
_cell_angle_beta 90.00
_cell_angle_gamma 90.00
loop_
_atom_site_label
_atom_site_fract_x
_atom_site_fract_y
_atom_site_fract_z
_atom_site_occupancy
Sr1 0.0000 0.5000 0.0000 1
Zn1 0.0000 0.0000 0.5000 1
Si1 0.5000 0.5000 0.0000 1
F1 0.5000 0.5000 0.5000 1
```

Output
formation energy without anion corrections = -0.425 eV per atom
total magnetization = 0.202 μB per atom
final energy = -2.8115 eV per atom
D(E_F) = 5.66 states/eV/cell

=====

# 5
VASP calculation (GGA-PBE) on crystalline SrZr2SiF at its relaxed geometry.

Geometry as CIF:
```
data_SrZr2SiF
_chemical_formula_sum 'Sr1 Zr2 Si1 F1'
_symmetry_space_group_name_H-M 'P 4/m m m'
_symmetry_Int_Tables_number 123
_symmetry_space_group_name_Hall '-P 4 2'
_cell_length_a 4.4529
_cell_length_b 4.4529
_cell_length_c 5.6364
_cell_angle_alpha 90.00
_cell_angle_beta 90.00
_cell_angle_gamma 90.00
loop_
_atom_site_label
_atom_site_fract_x
_atom_site_fract_y
_atom_site_fract_z
_atom_site_occupancy
Sr1 0.0000 0.0000 0.0000 1
Zr1 0.0000 0.5000 0.5000 1
Si1 0.5000 0.5000 0.0000 1
F1 0.5000 0.5000 0.5000 1
```

Output
formation energy without anion corrections = -0.448 eV per atom
total magnetization = 0.000 μB per atom
final energy = -5.6628 eV per atom
D(E_F) = 5.35 states/eV/cell

=====

# 6
VASP calculation (GGA-PBE) on crystalline TaSiF3 at its relaxed geometry.

Geometry as CIF:
```
data_TaSiF3
_chemical_formula_sum 'Ta1 Si1 F3'
_symmetry_space_group_name_H-M 'P m -3 m'
_symmetry_Int_Tables_number 221
_symmetry_space_group_name_Hall '-P 4 2 3'
_cell_length_a 4.2519
_cell_length_b 4.2519
_cell_length_c 4.2519
_cell_angle_alpha 90.00
_cell_angle_beta 90.00
_cell_angle_gamma 90.00
loop_
_atom_site_label
_atom_site_fract_x
_atom_site_fract_y
_atom_site_fract_z
_atom_site_occupancy
Ta1 0.0000 0.0000 0.0000 1
Si1 0.5000 0.5000 0.5000 1
F1 0.0000 0.0000 0.5000 1
```

Output
formation energy without anion corrections = -1.080 eV per atom
total magnetization = 0.719 μB per atom
final energy = -5.6580 eV per atom
D(E_F) = 2.30 states/eV/cell

=====

# 7
VASP calculation (GGA-PBE) on crystalline TaSiF2 at its relaxed geometry.

Geometry as CIF:
```
data_TaSiF2
_chemical_formula_sum 'Ta4 Si4 F8'
_symmetry_space_group_name_H-M 'F m -3 m'
_symmetry_Int_Tables_number 225
_symmetry_space_group_name_Hall '-F 4 2 3'
_cell_length_a 5.8808
_cell_length_b 5.8808
_cell_length_c 5.8808
_cell_angle_alpha 90.00
_cell_angle_beta 90.00
_cell_angle_gamma 90.00
loop_
_atom_site_label
_atom_site_fract_x
_atom_site_fract_y
_atom_site_fract_z
_atom_site_occupancy
Ta1 0.0000 0.0000 0.0000 1
Si1 0.0000 0.0000 0.5000 1
F1 0.2500 0.2500 0.2500 1
```

Output
formation energy without anion corrections = -0.433 eV per atom
total magnetization = 0.000 μB per atom
final energy = -5.6877 eV per atom
D(E_F) = 6.34 states/eV/cell

=====

# 8
VASP calculation (GGA-PBE) on crystalline TaSiF2 at its relaxed geometry.

Geometry as CIF:
```
data_TaSiF2
_chemical_formula_sum 'Ta4 Si4 F8'
_symmetry_space_group_name_H-M 'I -4 2 d'
_symmetry_Int_Tables_number 122
_symmetry_space_group_name_Hall 'I -4 2bw'
_cell_length_a 7.6367
_cell_length_b 7.6367
_cell_length_c 4.9781
_cell_angle_alpha 90.00
_cell_angle_beta 90.00
_cell_angle_gamma 90.00
loop_
_atom_site_label
_atom_site_fract_x
_atom_site_fract_y
_atom_site_fract_z
_atom_site_occupancy
Ta1 0.0000 0.0000 0.0000 1
Si1 0.0000 0.0000 0.5000 1
F1 0.0841 0.2500 0.1250 1
```

Output
formation energy without anion corrections = -0.880 eV per atom
total magnetization = 0.000 μB per atom
final energy = -6.1345 eV per atom
D(E_F) = 11.45 states/eV/cell

=====

Among the records above, which one has the lowest D(E_F)?
SrSiF

=====

Number 8 is which compound?
TaSiF2

=====

Please write out number 5 again, unchanged.
VASP calculation (GGA-PBE) on crystalline SrZr2SiF at its relaxed geometry.

Geometry as CIF:
```
data_SrZr2SiF
_chemical_formula_sum 'Sr1 Zr2 Si1 F1'
_symmetry_space_group_name_H-M 'P 4/m m m'
_symmetry_Int_Tables_number 123
_symmetry_space_group_name_Hall '-P 4 2'
_cell_length_a 4.4529
_cell_length_b 4.4529
_cell_length_c 5.6364
_cell_angle_alpha 90.00
_cell_angle_beta 90.00
_cell_angle_gamma 90.00
loop_
_atom_site_label
_atom_site_fract_x
_atom_site_fract_y
_atom_site_fract_z
_atom_site_occupancy
Sr1 0.0000 0.0000 0.0000 1
Zr1 0.0000 0.5000 0.5000 1
Si1 0.5000 0.5000 0.0000 1
F1 0.5000 0.5000 0.5000 1
```

Output
formation energy without anion corrections = -0.448 eV per atom
total magnetization = 0.000 μB per atom
final energy = -5.6628 eV per atom
D(E_F) = 5.35 states/eV/cell